No. 1
A PBEsol-optimized structure of Rb3SnP3Se11, computed with SCAN.

a = 21.8745 Å, b = 7.3038 Å, c = 13.8951 Å
α = 90.00°, β = 105.53°, γ = 90.00°
With the nearest neighbours (Å) after each atom.
Fractional positions:
Rb 0.0072 0.1556 0.3805  9 Se 3.50-3.87, 1 P 3.67
Rb 0.0072 0.3444 0.8805  9 Se 3.50-3.87, 1 P 3.67
Rb 0.2747 0.1444 0.4853  10 Se 3.59-4.01
Rb 0.2747 0.3556 0.9853  10 Se 3.59-4.01
Rb 0.4304 0.5589 0.6491  9 Se 3.48-3.90, 1 P 3.88
Rb 0.4304 0.9411 0.1491  9 Se 3.48-3.90, 1 P 3.88
Rb 0.5696 0.0589 0.8509  9 Se 3.48-3.90, 1 P 3.88
Rb 0.5696 0.4411 0.3509  9 Se 3.48-3.90, 1 P 3.88
Rb 0.7253 0.6444 0.0147  10 Se 3.59-4.01
Rb 0.7253 0.8556 0.5147  10 Se 3.59-4.01
Rb 0.9928 0.6556 0.1195  9 Se 3.50-3.87, 1 P 3.67
Rb 0.9928 0.8444 0.6195  9 Se 3.50-3.87, 1 P 3.67
Sn 0.2162 0.6332 0.2721  6 Se 2.65-2.79
Sn 0.2162 0.8668 0.7721  6 Se 2.65-2.79
Sn 0.7838 0.1332 0.2279  6 Se 2.65-2.79
Sn 0.7838 0.3668 0.7279  6 Se 2.65-2.79
P 0.0997 0.6390 0.3727  3 Se 2.14-2.25, 1 P 2.25
P 0.0997 0.8610 0.8727  3 Se 2.14-2.25, 1 P 2.25
P 0.1747 0.6497 0.5192  3 Se 2.16-2.25, 1 P 2.25
P 0.1747 0.8503 0.0192  3 Se 2.16-2.25, 1 P 2.25
P 0.3863 0.0595 0.8030  4 Se 2.16-2.30
P 0.3863 0.4405 0.3030  4 Se 2.16-2.30
P 0.6137 0.5595 0.6970  4 Se 2.16-2.30
P 0.6137 0.9405 0.1970  4 Se 2.16-2.30
P 0.8253 0.1497 0.9808  3 Se 2.16-2.25, 1 P 2.25
P 0.8253 0.3503 0.4808  3 Se 2.16-2.25, 1 P 2.25
P 0.9003 0.1390 0.1273  3 Se 2.14-2.25, 1 P 2.25
P 0.9003 0.3610 0.6273  3 Se 2.14-2.25, 1 P 2.25
Se 0.0052 0.6427 0.3889  1 P 2.14
Se 0.0052 0.8573 0.8889  1 P 2.14
Se 0.1242 0.6274 0.7837  1 P 2.25
Se 0.1242 0.8726 0.2837  1 P 2.25
Se 0.1266 0.1136 0.8042  1 P 2.23
Se 0.1266 0.3864 0.3042  1 P 2.23
Se 0.1533 0.5779 0.0739  1 P 2.22
Se 0.1533 0.9221 0.5739  1 P 2.22
Se 0.1680 0.0778 0.1157  1 P 2.16
Se 0.1680 0.4222 0.6157  1 P 2.16
Se 0.2673 0.6503 0.4772  1 P 2.25
Se 0.2673 0.8497 0.9772  1 P 2.25
Se 0.2852 0.1587 0.7538  1 P 2.25
Se 0.2852 0.3413 0.2538  1 P 2.25
Se 0.3005 0.6168 0.7545  1 Se 2.37, 1 Sn 2.65
Se 0.3005 0.8832 0.2545  1 Se 2.37, 1 Sn 2.65
Se 0.3818 0.7248 0.3721  1 P 2.30, 1 Se 2.37
Se 0.3818 0.7752 0.8721  1 P 2.30, 1 Se 2.37
Se 0.4231 0.0536 0.6729  1 P 2.17
Se 0.4231 0.4464 0.1729  1 P 2.17
Se 0.4393 0.2096 0.9323  1 P 2.16
Se 0.4393 0.2904 0.4323  1 P 2.16
Se 0.5607 0.7096 0.5677  1 P 2.16
Se 0.5607 0.7904 0.0677  1 P 2.16
Se 0.5769 0.5536 0.8271  1 P 2.17
Se 0.5769 0.9464 0.3271  1 P 2.17
Se 0.6182 0.2248 0.1279  1 P 2.30, 1 Se 2.37
Se 0.6182 0.2752 0.6279  1 P 2.30, 1 Se 2.37
Se 0.6995 0.1168 0.7455  1 Se 2.37, 1 Sn 2.65
Se 0.6995 0.3832 0.2455  1 Se 2.37, 1 Sn 2.65
Se 0.7148 0.6587 0.7462  1 P 2.25
Se 0.7148 0.8413 0.2462  1 P 2.25
Se 0.7327 0.1503 0.0228  1 P 2.25
Se 0.7327 0.3497 0.5228  1 P 2.25
Se 0.8320 0.5778 0.3843  1 P 2.16
Se 0.8320 0.9222 0.8843  1 P 2.16
Se 0.8467 0.0779 0.4261  1 P 2.22
Se 0.8467 0.4221 0.9261  1 P 2.22
Se 0.8734 0.6136 0.6958  1 P 2.23
Se 0.8734 0.8864 0.1958  1 P 2.23
Se 0.8758 0.1274 0.7163  1 P 2.25
Se 0.8758 0.3726 0.2163  1 P 2.25
Se 0.9948 0.1427 0.1111  1 P 2.14
Se 0.9948 0.3573 0.6111  1 P 2.14

formation energy from raw total energies: -597 meV/atom
space group: No. 14
crystal system: monoclinic
total energy: -360.9 eV per formula unit

=====

No. 2
A PBEsol-optimized structure of Rb3SnP, computed with SCAN.

a = 6.8594 Å, b = 6.8594 Å, c = 6.8594 Å
α = 90.00°, β = 90.00°, γ = 90.00°
With the nearest neighbours (Å) after each atom.
Fractional positions:
Rb 0.0000 0.0000 0.5000  2 Sn 3.43
Rb 0.0000 0.5000 0.0000  2 Sn 3.43
Rb 0.5000 0.0000 0.0000  2 Sn 3.43
Sn 0.0000 0.0000 0.0000  6 Rb 3.43
P 0.5000 0.5000 0.5000  12 Rb 4.85

space group: No. 221
crystal system: cubic
formation energy: 2.49 eV per formula unit
total energy: -106.0 eV per formula unit

=====

No. 3
A PBEsol-optimized structure of RbSnP, computed with SCAN.

a = 6.9723 Å, b = 6.9723 Å, c = 6.9723 Å
α = 33.32°, β = 33.32°, γ = 33.32°
With the nearest neighbours (Å) after each atom.
Fractional positions:
Rb 0.0000 0.0000 0.0000  3 P 3.28
Sn 0.4844 0.4844 0.4844  3 P 2.63
P 0.2150 0.2150 0.2150  3 Sn 2.63

space group: No. 160
crystal system: trigonal
formation energy: -1.17 eV per formula unit
total energy: -68.2 eV per formula unit